Record 1
# RbPmS2 (PBE, relaxed)
# Space-group type: No. 160
# Raw formation energy (eV per atom): -1.810
data_RbPmS2
_chemical_formula_sum 'Rb1 Pm1 S2'
_space_group_name_H-M_alt 'P 1'
_space_group_IT_number 1
_cell_length_a 8.2023
_cell_length_b 8.2023
_cell_length_c 8.2023
_cell_angle_alpha 29.47
_cell_angle_beta 29.47
_cell_angle_gamma 29.47
loop_
_space_group_symop_operation_xyz
'x,y,z'
loop_
_atom_site_label
_atom_site_fract_x
_atom_site_fract_y
_atom_site_fract_z
Rb1 0.0000 0.0000 0.0000
Pm1 0.1694 0.1694 0.1694
S1 0.5679 0.5679 0.5679
S2 0.7711 0.7711 0.7711



Record 2
# RbMnNb3 (PBE, relaxed)
# Space-group type: No. 221
# Formation energy (eV/atom): 3.20
data_RbMnNb3
_chemical_formula_sum 'Rb1 Mn1 Nb3'
_space_group_name_H-M_alt 'P 1'
_space_group_IT_number 1
_cell_length_a 4.7360
_cell_length_b 4.7360
_cell_length_c 4.7360
_cell_angle_alpha 90.00
_cell_angle_beta 90.00
_cell_angle_gamma 90.00
loop_
_space_group_symop_operation_xyz
'x,y,z'
loop_
_atom_site_label
_atom_site_fract_x
_atom_site_fract_y
_atom_site_fract_z
Rb1 0.0000 0.0000 0.0000
Mn1 0.5000 0.5000 0.5000
Nb1 0.0000 0.0000 0.5000
Nb2 0.0000 0.5000 0.0000
Nb3 0.5000 0.0000 0.0000



Record 3
# CaDyTm (PBE, relaxed)
# Space-group type: No. 2
# Formation energy (eV/atom): 0.07
data_CaDyTm
_chemical_formula_sum 'Ca2 Dy2 Tm2'
_space_group_name_H-M_alt 'P 1'
_space_group_IT_number 1
_cell_length_a 3.6204
_cell_length_b 6.2741
_cell_length_c 9.1300
_cell_angle_alpha 83.37
_cell_angle_beta 78.58
_cell_angle_gamma 89.92
loop_
_space_group_symop_operation_xyz
'x,y,z'
loop_
_atom_site_label
_atom_site_fract_x
_atom_site_fract_y
_atom_site_fract_z
Ca1 0.2491 0.2501 0.0010
Ca2 0.7509 0.7499 0.9990
Dy1 0.0761 0.8584 0.3478
Dy2 0.9239 0.1416 0.6522
Tm1 0.4239 0.6403 0.6530
Tm2 0.5761 0.3597 0.3470



Record 4
# Sr2Tl6Au3 (PBE, relaxed)
# Space-group type: No. 189
# Formation energy (eV/atom): -0.26
data_Sr2Tl6Au3
_chemical_formula_sum 'Sr2 Tl6 Au3'
_space_group_name_H-M_alt 'P 1'
_space_group_IT_number 1
_cell_length_a 8.9059
_cell_length_b 8.9059
_cell_length_c 4.7543
_cell_angle_alpha 90.00
_cell_angle_beta 90.00
_cell_angle_gamma 120.00
loop_
_space_group_symop_operation_xyz
'x,y,z'
loop_
_atom_site_label
_atom_site_fract_x
_atom_site_fract_y
_atom_site_fract_z
Sr1 0.3333 0.6667 0.0000
Sr2 0.6667 0.3333 0.0000
Tl1 0.0000 0.2078 0.0000
Tl2 0.0000 0.7069 0.5000
Tl3 0.2078 0.0000 0.0000
Tl4 0.2931 0.2931 0.5000
Tl5 0.7069 0.0000 0.5000
Tl6 0.7922 0.7922 0.0000
Au1 0.0000 0.3930 0.5000
Au2 0.3930 0.0000 0.5000
Au3 0.6070 0.6070 0.5000



Values of DOS(E_F), in order: 0.000 12.476 5.188 7.880, all in states/eV/f.u..
Values of total moment, in order: 0.000 0.010 0.171 0.000, all in μB per atom.